# 1
Density functional theory data (PBE) for an optimized crystal structure of ErScAl.

It has space group P3m1 (No. 156), with a = 5.0187 Å, b = 5.0187 Å, c = 3.0533 Å, α = 90.00°, β = 90.00° and γ = 120.00°. The asymmetric unit holds Er at (0.0000, 0.0000, 0.0000), Sc at (0.6667, 0.3333, 0.9876) and Al at (0.3333, 0.6667, 0.4951).

As for the magnetization: 0.0 Bohr magnetons per cell. For the calculated volume, the calculation gives 22.20 Å³/atom. The formation energy comes out at -0.044 eV per atom. For the energy, the calculation gives -14.77 eV per cell. The energy relative to the lowest polymorph listed for this composition comes out at 0.251 eV per atom.



# 2
Density functional theory data (PBE) for an optimized crystal structure of ErSc5Al2.

It has space group Immm (No. 71), with a = 3.3234 Å, b = 9.5830 Å, c = 11.7109 Å, α = 90.00°, β = 90.00° and γ = 90.00°. The asymmetric unit holds Er at (0.0000, 0.0000, 0.0000), Sc at (0.0000, 0.2239, 0.3644), Sc at (0.0000, 0.5000, 0.0000) and Al at (0.0000, 0.5000, 0.2567).

As for the magnetization: 3.0 Bohr magnetons per cell. For the calculated volume, the calculation gives 23.31 Å³/atom. The formation energy comes out at -0.166 eV per atom. For the energy, the calculation gives -90.06 eV per cell.



# 3
Density functional theory data (PBE) for an optimized crystal structure of Er4Sc3Al4.

It has space group Immm (No. 71), with a = 3.2783 Å, b = 8.9854 Å, c = 17.9094 Å, α = 90.00°, β = 90.00° and γ = 90.00°. The asymmetric unit holds Er at (0.0000, 0.1823, 0.1619), Sc at (0.0000, 0.0000, 0.4077), Sc at (0.0000, 0.5000, 0.5000), Al at (0.0000, 0.2806, 0.0000) and Al at (0.0000, 0.5000, 0.2238).

As for the magnetization: 0.0 Bohr magnetons per cell. For the calculated volume, the calculation gives 23.98 Å³/atom. The formation energy comes out at -0.224 eV per atom. For the energy, the calculation gives -109.36 eV per cell.



# 4
Density functional theory data (PBE) for an optimized crystal structure of ErSc2Al3.

It has space group P4/mmm (No. 123), with a = 3.4372 Å, b = 3.4372 Å, c = 10.3287 Å, α = 90.00°, β = 90.00° and γ = 90.00°. The asymmetric unit holds Er at (0.0000, 0.0000, 0.0000), Sc at (0.0000, 0.0000, 0.3403), Al at (0.5000, 0.5000, 0.1834) and Al at (0.5000, 0.5000, 0.5000).

As for the magnetization: 0.0 Bohr magnetons per cell. For the calculated volume, the calculation gives 20.34 Å³/atom. The formation energy comes out at -0.427 eV per atom. For the energy, the calculation gives -31.01 eV per cell.



> What is the calculated volume in the fourth record?

20.34 Å³/atom